1.
Material: TaPW2
Method: DFT, SCAN
State: single point on PBEsol structure

```
TaPW2
1.0
3.165 0.000 0.000
0.000 4.602 0.013
-1.582 -1.705 4.179
W P Ta
2 1 1
Direct
0.272 0.281 0.545 W
0.728 0.719 0.455 W
0.000 0.500 0.000 P
0.500 0.000 0.000 Ta
```

Results
- E_form: 0.0640 eV/atom
- Total magnetic moment: 0.00 μB per cell
- Volume: 60.9 Å³ per cell


2.
Material: Ta2PW
Method: DFT, SCAN
State: single point on PBEsol structure

```
Ta2PW
1.0
3.271 0.000 0.000
0.000 4.387 0.012
0.000 -0.892 4.364
Ta W P
2 1 1
Direct
0.500 0.000 0.500 Ta
0.000 0.000 0.000 Ta
0.500 0.500 0.000 W
0.000 0.500 0.500 P
```

Results
- E_form: -0.0201 eV/atom
- Total magnetic moment: 0.00 μB per cell
- Volume: 62.6 Å³ per cell


3.
Material: Ta2PW
Method: DFT, SCAN
State: single point on PBEsol structure

```
Ta2PW
1.0
-2.689 1.009 0.099
-0.989 -2.673 0.369
0.591 0.830 7.597
P Ta W
1 2 1
Direct
0.500 0.500 0.500 P
0.000 0.000 0.707 Ta
0.000 0.000 0.293 Ta
0.500 0.500 0.000 W
```

Results
- E_form: 0.0838 eV/atom
- Total magnetic moment: 0.00 μB per cell
- Volume: 63.3 Å³ per cell


4.
Material: Y2TaP
Method: DFT, SCAN
State: single point on PBEsol structure

```
Y2TaP
1.0
-2.188 -1.647 1.939
2.288 0.400 2.920
-3.455 7.225 -0.665
Ta Y P
1 2 1
Direct
0.000 0.500 0.000 Ta
0.840 0.840 0.680 Y
0.160 0.160 0.320 Y
0.500 0.000 0.000 P
```

Results
- E_form: -0.2745 eV/atom
- Total magnetic moment: 0.22 μB per cell
- Volume: 95.6 Å³ per cell